Below is a geometry-optimized Sc3Mn structure, with properties calculated at the PBE level.

Results
DFT formation energy ... 155 meV per atom
Volume ... 83.9 Å³/f.u.

a b c (Å): 4.673 4.673 7.683
angles (deg): 90.00 90.00 90.00
Space group I4/mmm (No. 139)
Asymmetric unit:
Sc  0.000  0.000  0.000 [2 per cell]
Sc  0.000  0.500  0.250 [4 per cell]
Mn  0.000  0.000  0.500 [2 per cell]

---

Below is a geometry-optimized Pr8Sc2In structure, with properties calculated at the PBE level.

Results
DFT formation energy ... -52 meV per atom
Volume ... 355.8 Å³/f.u.

a b c (Å): 18.192 5.036 8.089
angles (deg): 90.00 106.18 90.00
Space group C2/m (No. 12)
Asymmetric unit:
Pr  0.047  0.000  0.230 [4 per cell]
Pr  0.095  0.500  0.948 [4 per cell]
Pr  0.139  0.000  0.687 [4 per cell]
Pr  0.180  0.500  0.410 [4 per cell]
Sc  0.226  0.000  0.129 [4 per cell]
In  0.000  0.500  0.500 [2 per cell]

---

Below is a geometry-optimized Hf4Sb3Te structure, with properties calculated at the PBE level.

Results
Volume ... 191.3 Å³/f.u.
ΔE_f (raw) ... -4.12 eV per formula unit

a b c (Å): 5.376 10.755 6.617
angles (deg): 90.00 90.00 90.00
Space group Pmmn (No. 59, origin choice 2)
Asymmetric unit:
Hf  0.250  0.001  0.141 [4 per cell]
Hf  0.250  0.250  0.857 [2 per cell]
Hf  0.250  0.750  0.859 [2 per cell]
Sb  0.250  0.000  0.683 [4 per cell]
Sb  0.250  0.250  0.315 [2 per cell]
Te  0.250  0.750  0.311 [2 per cell]

---

Below is a geometry-optimized CsCd2Te2 structure, with properties calculated at the PBE level.

Results
Volume ... 195.7 Å³/f.u.
ΔE_f (raw) ... -2.59 eV per formula unit
ΔE to the lowest computed polymorph ... 0.0 meV per atom

a b c (Å): 5.197 5.197 14.491
angles (deg): 90.00 90.00 90.00
Space group I4/mmm (No. 139)
Asymmetric unit:
Cs  0.000  0.000  0.000 [2 per cell]
Cd  0.000  0.500  0.250 [4 per cell]
Te  0.000  0.000  0.352 [4 per cell]

---

Below is a geometry-optimized NaGa2Hg structure, with properties calculated at the PBE level.

Results
DFT formation energy ... 34 meV per atom
Volume ... 96.9 Å³/f.u.

a b c (Å): 8.205 8.205 5.760
angles (deg): 90.00 90.00 90.00
Space group I-42d (No. 122)
Asymmetric unit:
Na  0.000  0.000  0.000 [4 per cell]
Ga  0.215  0.250  0.625 [8 per cell]
Hg  0.000  0.000  0.500 [4 per cell]

---

Below is a geometry-optimized PrLuAgBi structure, with properties calculated at the PBE level.

Results
DFT formation energy ... -385 meV per atom
Volume ... 109.2 Å³/f.u.

a b c (Å): 7.587 7.587 7.587
angles (deg): 90.00 90.00 90.00
Space group F-43m (No. 216)
Asymmetric unit:
Pr  0.000  0.000  0.000 [4 per cell]
Lu  0.000  0.000  0.500 [4 per cell]
Ag  0.250  0.250  0.250 [4 per cell]
Bi  0.250  0.250  0.750 [4 per cell]

---

Below is a geometry-optimized CsScSe2Cl structure, with properties calculated at the PBE level.

Results
Volume ... 149.4 Å³/f.u.
ΔE_f (raw) ... -7.20 eV per formula unit

a b c (Å): 5.236 5.236 5.450
angles (deg): 90.00 90.00 90.00
Space group P4/mmm (No. 123)
Asymmetric unit:
Cs  0.000  0.000  0.000 [1 per cell]
Sc  0.500  0.500  0.500 [1 per cell]
Se  0.000  0.500  0.500 [2 per cell]
Cl  0.500  0.500  0.000 [1 per cell]

---

Below is a geometry-optimized CsHgH structure, with properties calculated at the PBE level.

Results
Volume ... 103.7 Å³/f.u.
ΔE to the lowest computed polymorph ... 11.0 meV per atom

a b c (Å): 6.304 5.306 6.496
angles (deg): 90.00 107.31 90.00
Space group P2_1/m (No. 11)
Asymmetric unit:
Cs  0.109  0.250  0.267 [2 per cell]
Hg  0.446  0.250  0.874 [2 per cell]
H  0.108  0.250  0.744 [2 per cell]

---

Below is a geometry-optimized CeCdAgSn structure, with properties calculated at the PBE level.

Results
DFT formation energy ... -265 meV per atom
Volume ... 97.4 Å³/f.u.

a b c (Å): 7.303 7.303 7.303
angles (deg): 90.00 90.00 90.00
Space group F-43m (No. 216)
Asymmetric unit:
Ce  0.000  0.000  0.000 [4 per cell]
Cd  0.000  0.000  0.500 [4 per cell]
Ag  0.250  0.250  0.750 [4 per cell]
Sn  0.250  0.250  0.250 [4 per cell]

---

Below is a geometry-optimized La2ZrInC structure, with properties calculated at the PBE level.

Results
DFT formation energy ... -286 meV per atom
Volume ... 128.3 Å³/f.u.
ΔE to the lowest computed polymorph ... 0.0 meV per atom

a b c (Å): 5.260 5.260 4.637
angles (deg): 90.00 90.00 90.00
Space group P4/mmm (No. 123)
Asymmetric unit:
La  0.000  0.500  0.000 [2 per cell]
Zr  0.000  0.000  0.500 [1 per cell]
In  0.500  0.500  0.500 [1 per cell]
C  0.000  0.000  0.000 [1 per cell]

---

Below is a geometry-optimized KTe2Pb structure, with properties calculated at the PBE level.

Results
Volume ... 136.0 Å³/f.u.
ΔE_f (raw) ... -1.89 eV per formula unit

a b c (Å): 3.539 4.336 8.862
angles (deg): 90.00 90.00 90.00
Space group Pmmm (No. 47)
Asymmetric unit:
K  0.000  0.000  0.000 [1 per cell]
Te  0.500  0.500  0.270 [2 per cell]
Pb  0.000  0.000  0.500 [1 per cell]

---

Below is a geometry-optimized Pm2TmIn3Se6 structure, with properties calculated at the PBE level.

Results
Volume ... 355.4 Å³/f.u.
ΔE_f (raw) ... -15.49 eV per formula unit

a b c (Å): 7.287 12.615 8.104
angles (deg): 90.00 107.43 90.00
Space group C2/m (No. 12)
Asymmetric unit:
Pm  0.000  0.167  0.000 [4 per cell]
Tm  0.000  0.500  0.000 [2 per cell]
In  0.000  0.000  0.500 [2 per cell]
In  0.000  0.332  0.500 [4 per cell]
Se  0.232  0.338  0.210 [8 per cell]
Se  0.247  0.000  0.213 [4 per cell]

---

Below is a geometry-optimized Tm5Zr2Sc4 structure, with properties calculated at the PBE level.

Results
DFT formation energy ... 212 meV per atom
Volume ... 302.9 Å³/f.u.

a b c (Å): 3.313 8.520 21.461
angles (deg): 90.00 90.00 90.00
Space group Immm (No. 71)
Asymmetric unit:
Tm  0.000  0.000  0.000 [2 per cell]
Tm  0.000  0.292  0.348 [8 per cell]
Zr  0.000  0.500  0.228 [4 per cell]
Sc  0.000  0.184  0.500 [4 per cell]
Sc  0.000  0.500  0.096 [4 per cell]

---

Below is a geometry-optimized SmHo2TlN structure, with properties calculated at the PBE level.

Results
Volume ... 114.2 Å³/f.u.
ΔE_f (raw) ... -4.57 eV per formula unit

a b c (Å): 4.803 4.803 4.950
angles (deg): 90.00 90.00 90.00
Space group P4/mmm (No. 123)
Asymmetric unit:
Sm  0.000  0.000  0.000 [1 per cell]
Ho  0.000  0.500  0.500 [2 per cell]
Tl  0.500  0.500  0.000 [1 per cell]
N  0.000  0.000  0.500 [1 per cell]

---

Below is a geometry-optimized Ag2BCF structure, with properties calculated at the PBE level.

Results
Volume ... 71.9 Å³/f.u.
ΔE_f (raw) ... 8.69 eV per formula unit

a b c (Å): 4.769 4.769 3.161
angles (deg): 90.00 90.00 90.00
Space group P4/mmm (No. 123)
Asymmetric unit:
Ag  0.000  0.500  0.000 [2 per cell]
B  0.000  0.000  0.500 [1 per cell]
C  0.500  0.500  0.500 [1 per cell]
F  0.000  0.000  0.000 [1 per cell]

---

Below is a geometry-optimized NbSbTe4 structure, with properties calculated at the PBE level.

Results
Volume ... 200.3 Å³/f.u.
ΔE_f (raw) ... -1.21 eV per formula unit

a b c (Å): 3.842 18.047 11.559
angles (deg): 90.00 90.00 90.00
Space group Cmc2_1 (No. 36)
Asymmetric unit:
Nb  0.000  0.146  0.000 [4 per cell]
Sb  0.000  0.263  0.814 [4 per cell]
Te  0.000  0.119  0.253 [4 per cell]
Te  0.000  0.237  0.563 [4 per cell]
Te  0.000  0.382  0.318 [4 per cell]
Te  0.000  0.464  0.567 [4 per cell]

---

Below is a geometry-optimized SbTeCl4 structure, with properties calculated at the PBE level.

Results
Volume ... 142.7 Å³/f.u.
ΔE_f (raw) ... 3.25 eV per formula unit

a b c (Å): 8.296 8.296 8.296
angles (deg): 90.00 90.00 90.00
Space group F-43m (No. 216)
Asymmetric unit:
Sb  0.000  0.000  0.000 [4 per cell]
Te  0.250  0.250  0.750 [4 per cell]
Cl  0.125  0.125  0.375 [16 per cell]

---

Below is a geometry-optimized Y6GaCu5 structure, with properties calculated at the PBE level.

Results
DFT formation energy ... -304 meV per atom
Volume ... 257.9 Å³/f.u.

a b c (Å): 4.944 14.829 7.037
angles (deg): 90.00 90.00 90.00
Space group Cmmm (No. 65)
Asymmetric unit:
Y  0.000  0.000  0.244 [4 per cell]
Y  0.000  0.332  0.248 [8 per cell]
Ga  0.000  0.500  0.500 [2 per cell]
Cu  0.000  0.163  0.500 [4 per cell]
Cu  0.000  0.167  0.000 [4 per cell]
Cu  0.000  0.500  0.000 [2 per cell]

---

Below is a geometry-optimized Dy4ErHg structure, with properties calculated at the PBE level.

Results
DFT formation energy ... -143 meV per atom
Volume ... 177.3 Å³/f.u.

a b c (Å): 3.559 3.559 13.996
angles (deg): 90.00 90.00 90.00
Space group P4/mmm (No. 123)
Asymmetric unit:
Dy  0.000  0.000  0.145 [2 per cell]
Dy  0.500  0.500  0.323 [2 per cell]
Er  0.000  0.000  0.500 [1 per cell]
Hg  0.500  0.500  0.000 [1 per cell]

---

Below is a geometry-optimized CaRh2 structure, with properties calculated at the PBE level.

Results
DFT formation energy ... -28 meV per atom
Volume ... 53.4 Å³/f.u.

a b c (Å): 3.068 14.854 4.686
angles (deg): 90.00 90.00 90.00
Space group Cmcm (No. 63)
Asymmetric unit:
Ca  0.000  0.093  0.250 [4 per cell]
Rh  0.000  0.231  0.750 [4 per cell]
Rh  0.000  0.415  0.250 [4 per cell]

---

Below is a geometry-optimized Tb6Tm2Ga structure, with properties calculated at the PBE level.

Results
DFT formation energy ... 20 meV per atom
Volume ... 276.3 Å³/f.u.

a b c (Å): 9.179 17.104 3.520
angles (deg): 90.00 90.00 90.00
Space group Cmmm (No. 65)
Asymmetric unit:
Tb  0.172  0.162  0.000 [8 per cell]
Tb  0.214  0.500  0.500 [4 per cell]
Tm  0.000  0.321  0.500 [4 per cell]
Ga  0.000  0.000  0.000 [2 per cell]

---

Below is a geometry-optimized Mn2CoHg structure, with properties calculated at the PBE level.

Results
DFT formation energy ... 184 meV per atom
Volume ... 60.1 Å³/f.u.

a b c (Å): 2.994 3.016 6.653
angles (deg): 90.00 90.00 90.00
Space group Pmmm (No. 47)
Asymmetric unit:
Mn  0.000  0.000  0.207 [2 per cell]
Co  0.500  0.500  0.000 [1 per cell]
Hg  0.500  0.500  0.500 [1 per cell]

---

Below is a geometry-optimized TcMoSe2 structure, with properties calculated at the PBE level.

Results
Volume ... 64.9 Å³/f.u.
ΔE_f (raw) ... 1.86 eV per formula unit
ΔE to the lowest computed polymorph ... 651.6 meV per atom

a b c (Å): 4.008 4.008 8.074
angles (deg): 90.00 90.00 90.00
Space group I-4m2 (No. 119)
Asymmetric unit:
Tc  0.000  0.000  0.000 [2 per cell]
Mo  0.000  0.500  0.750 [2 per cell]
Se  0.000  0.000  0.500 [2 per cell]
Se  0.000  0.500  0.250 [2 per cell]

---

Below is a geometry-optimized CaLa3S structure, with properties calculated at the PBE level.

Results
Volume ... 182.9 Å³/f.u.
ΔE_f (raw) ... 3.56 eV per formula unit
ΔE to the lowest computed polymorph ... 1468.8 meV per atom

a b c (Å): 5.677 5.677 5.677
angles (deg): 90.00 90.00 90.00
Space group Pm-3m (No. 221)
Asymmetric unit:
Ca  0.000  0.000  0.000 [1 per cell]
La  0.000  0.000  0.500 [3 per cell]
S  0.500  0.500  0.500 [1 per cell]

---

Below is a geometry-optimized Li5AgSn2 structure, with properties calculated at the PBE level.

Results
DFT formation energy ... -300 meV per atom
Volume ... 143.3 Å³/f.u.

a b c (Å): 6.695 9.266 5.694
angles (deg): 90.00 125.79 90.00
Space group Cm (No. 8)
Asymmetric unit:
Li  0.000  0.000  0.000 [2 per cell]
Li  0.001  0.500  0.003 [2 per cell]
Li  0.003  0.000  0.501 [2 per cell]
Li  0.250  0.251  0.501 [4 per cell]
Ag  0.499  0.000  0.501 [2 per cell]
Sn  0.250  0.250  0.001 [4 per cell]

---

Below is a geometry-optimized In5W4 structure, with properties calculated at the PBE level.

Results
DFT formation energy ... 595 meV per atom
Volume ... 183.1 Å³/f.u.

a b c (Å): 10.654 10.654 3.226
angles (deg): 90.00 90.00 90.00
Space group I4/mmm (No. 139)
Asymmetric unit:
In  0.000  0.000  0.000 [2 per cell]
In  0.167  0.167  0.500 [8 per cell]
W  0.000  0.358  0.000 [8 per cell]

---

no.,spin magnetization (μB/f.u.)
1,1.53
2,0.00
3,0.00
4,0.00
5,0.00
6,0.75
7,0.23
8,0.00
9,1.12
10,0.00
11,0.00
12,0.00
13,0.00
14,0.00
15,0.00
16,0.00
17,1.29
18,0.00
19,0.00
20,0.00
21,0.00
22,8.66
23,0.00
24,0.00
25,0.00
26,0.00